VASP calculation (PBE) on a geometry-optimized CaAlZnIn structure.

Properties
Calculated total energy ... -2.579 eV/atom
Volume ... 21.959 Å³/atom
Formation energy ... -0.140 eV per atom
SG ... F-43m (216)

Cell lengths 4.990, 4.990, 4.990 Å; angles 60.00, 60.00, 60.00 degrees
Fractional positions:
1 In 0.250 0.250 0.250
2 Zn 0.750 0.750 0.750
3 Al 0.500 0.500 0.500
4 Ca 0.000 0.000 0.000

---

VASP calculation (PBE) on a geometry-optimized Ca2AlIr structure.

Properties
Calculated total energy ... -4.302 eV/atom
Volume ... 21.813 Å³/atom
Formation energy ... -0.150 eV per atom
SG ... P4/mmm (123)

Cell lengths 4.674, 4.674, 3.993 Å; angles 90.00, 90.00, 90.05 degrees
Fractional positions:
1 Ca 0.500 0.500 0.000
2 Ca 0.000 0.000 0.000
3 Al 0.000 0.500 0.500
4 Ir 0.500 0.000 0.500

---

VASP calculation (PBE) on a geometry-optimized Ca3Al2Ir2 structure.

Properties
Calculated total energy ... -5.027 eV/atom
Volume ... 22.787 Å³/atom
Formation energy ... -0.568 eV per atom
SG ... Pbcm (57)

Cell lengths 5.897, 7.786, 13.895 Å; angles 90.00, 90.00, 90.00 degrees
Fractional positions:
1 Ca 0.860 0.395 0.905
2 Ca 0.860 0.105 0.095
3 Ca 0.140 0.895 0.905
4 Ca 0.376 0.239 0.750
5 Ca 0.140 0.605 0.405
6 Ca 0.376 0.261 0.250
7 Ca 0.860 0.105 0.405
8 Ca 0.140 0.895 0.595
9 Ca 0.140 0.605 0.095
10 Ca 0.860 0.395 0.595
11 Ca 0.624 0.761 0.250
12 Ca 0.624 0.739 0.750
13 Al 0.836 0.085 0.750
14 Al 0.164 0.915 0.250
15 Al 0.589 0.750 0.500
16 Al 0.411 0.250 0.000
17 Al 0.164 0.585 0.750
18 Al 0.836 0.415 0.250
19 Al 0.589 0.750 0.000
20 Al 0.411 0.250 0.500
21 Ir 0.356 0.973 0.407
22 Ir 0.356 0.973 0.093
23 Ir 0.356 0.527 0.593
24 Ir 0.644 0.027 0.593
25 Ir 0.644 0.473 0.407
26 Ir 0.356 0.527 0.907
27 Ir 0.644 0.027 0.907
28 Ir 0.644 0.473 0.093

---

VASP calculation (PBE) on a geometry-optimized Ca2Al6Ir structure.

Properties
Calculated total energy ... -4.351 eV/atom
Volume ... 19.442 Å³/atom
Formation energy ... -0.426 eV per atom
SG ... P-3m1 (164)

Cell lengths 6.029, 5.789, 5.789 Å; angles 60.00, 90.01, 90.01 degrees
Fractional positions:
1 Al 0.676 0.168 0.168
2 Al 0.676 0.168 0.664
3 Al 0.324 0.336 0.832
4 Al 0.676 0.664 0.168
5 Al 0.324 0.832 0.832
6 Al 0.324 0.832 0.336
7 Ca 0.133 0.333 0.333
8 Ca 0.867 0.667 0.667
9 Ir 0.000 0.000 0.000

---

VASP calculation (PBE) on a geometry-optimized CaAl12Ir4 structure.

Properties
Calculated total energy ... -5.135 eV/atom
Volume ... 25.167 Å³/atom
Formation energy ... -0.290 eV per atom
SG ... Im-3m (229)

Cell lengths 8.222, 8.222, 8.222 Å; angles 109.47, 109.47, 109.47 degrees
Fractional positions:
1 Al 0.265 0.265 0.530
2 Al 0.265 0.000 0.735
3 Al 0.000 0.735 0.265
4 Al 0.735 0.470 0.735
5 Al 0.265 0.735 0.000
6 Al 0.265 0.530 0.265
7 Al 0.530 0.265 0.265
8 Al 0.735 0.265 0.000
9 Al 0.735 0.000 0.265
10 Al 0.735 0.735 0.470
11 Al 0.470 0.735 0.735
12 Al 0.000 0.265 0.735
13 Ir 0.000 0.000 0.500
14 Ir 0.500 0.000 0.000
15 Ir 0.500 0.500 0.500
16 Ir 0.000 0.500 0.000
17 Ca 0.000 0.000 0.000

---

VASP calculation (PBE) on a geometry-optimized Ca2AlIr2 structure.

Properties
Calculated total energy ... -5.617 eV/atom
Volume ... 20.505 Å³/atom
Formation energy ... -0.524 eV per atom
SG ... P4/mbm (127)

Cell lengths 6.615, 6.615, 4.687 Å; angles 90.00, 90.00, 90.00 degrees
Fractional positions:
1 Ir 0.365 0.865 0.000
2 Ir 0.865 0.635 0.000
3 Ir 0.635 0.135 0.000
4 Ir 0.135 0.365 0.000
5 Al 0.000 0.000 0.000
6 Al 0.500 0.500 0.000
7 Ca 0.173 0.673 0.500
8 Ca 0.673 0.827 0.500
9 Ca 0.327 0.173 0.500
10 Ca 0.827 0.327 0.500

---

VASP calculation (PBE) on a geometry-optimized Ca2AlIr structure.

Properties
Calculated total energy ... -4.561 eV/atom
Volume ... 25.360 Å³/atom
Formation energy ... -0.409 eV per atom
SG ... Amm2 (38)

Cell lengths 4.223, 4.397, 5.889 Å; angles 68.09, 90.00, 90.00 degrees
Fractional positions:
1 Ir 0.000 0.681 0.514
2 Ca 0.000 0.981 0.912
3 Ca 0.500 0.267 0.340
4 Al 0.500 0.571 0.734

---

VASP calculation (PBE) on a geometry-optimized Ca3AlIr structure.

Properties
Calculated total energy ... -3.748 eV/atom
Volume ... 32.283 Å³/atom
Formation energy ... -0.026 eV per atom
SG ... Pm-3m (221)
Offset from the most stable computed form ... 0.0000 eV/atom

Cell lengths 5.445, 5.445, 5.445 Å; angles 90.00, 90.00, 90.00 degrees
Fractional positions:
1 Ca 0.000 0.500 0.000
2 Ca 0.000 0.000 0.500
3 Ca 0.500 0.000 0.000
4 Ir 0.000 0.000 0.000
5 Al 0.500 0.500 0.500

---

VASP calculation (PBE) on a geometry-optimized Ca2AlIr structure.

Properties
Calculated total energy ... -4.478 eV/atom
Volume ... 23.560 Å³/atom
Formation energy ... -0.326 eV per atom
SG ... C2 (5)

Cell lengths 5.831, 5.832, 5.049 Å; angles 115.61, 115.61, 114.39 degrees
Fractional positions:
1 Ir 0.457 0.543 0.000
2 Al 0.806 0.194 0.500
3 Ca 0.221 0.779 0.500
4 Ca 0.015 0.985 0.000

---

VASP calculation (PBE) on a geometry-optimized Ca2AlIr structure.

Properties
Calculated total energy ... -4.632 eV/atom
Volume ... 28.828 Å³/atom
Formation energy ... -0.481 eV per atom
SG ... Cm (8)

Cell lengths 4.243, 4.243, 7.792 Å; angles 74.11, 74.11, 60.05 degrees
Fractional positions:
1 Al 0.208 0.208 0.376
2 Ca 0.786 0.786 0.640
3 Ca 0.964 0.964 0.110
4 Ir 0.542 0.542 0.374

---

VASP calculation (PBE) on a geometry-optimized CaAl6Ir3 structure.

Properties
Calculated total energy ... -5.807 eV/atom
Volume ... 17.449 Å³/atom
Formation energy ... -0.703 eV per atom
SG ... P2_1/m (11)

Cell lengths 4.250, 8.383, 9.808 Å; angles 87.00, 90.00, 90.00 degrees
Fractional positions:
1 Al 0.250 0.303 0.734
2 Al 0.250 0.572 0.416
3 Al 0.250 0.787 0.629
4 Al 0.750 0.677 0.787
5 Al 0.750 0.879 0.025
6 Al 0.750 0.471 0.086
7 Al 0.250 0.121 0.975
8 Al 0.250 0.529 0.914
9 Al 0.750 0.697 0.266
10 Al 0.750 0.428 0.584
11 Al 0.750 0.213 0.371
12 Al 0.250 0.323 0.213
13 Ir 0.250 0.830 0.878
14 Ir 0.250 0.281 0.484
15 Ir 0.250 0.629 0.150
16 Ir 0.750 0.170 0.122
17 Ir 0.750 0.371 0.850
18 Ir 0.750 0.719 0.516
19 Ca 0.750 0.043 0.695
20 Ca 0.250 0.957 0.305

---

VASP calculation (PBE) on a geometry-optimized Ca2AlIr structure.

Properties
Calculated total energy ... -4.515 eV/atom
Volume ... 23.783 Å³/atom
Formation energy ... -0.363 eV per atom
SG ... P4mm (99)

Cell lengths 3.321, 3.321, 8.626 Å; angles 90.00, 90.00, 90.00 degrees
Fractional positions:
1 Ca 0.000 0.000 0.939
2 Ca 0.500 0.500 0.325
3 Al 0.500 0.500 0.682
4 Ir 0.000 0.000 0.554

---

VASP calculation (PBE) on a geometry-optimized Ca3Al4Ir4 structure.

Properties
Calculated total energy ... -5.694 eV/atom
Volume ... 20.677 Å³/atom
Formation energy ... -0.565 eV per atom
SG ... I-43m (217)

Cell lengths 6.660, 6.660, 6.660 Å; angles 109.47, 109.47, 109.47 degrees
Fractional positions:
1 Al 0.000 0.000 0.270
2 Al 0.730 0.730 0.730
3 Al 0.270 0.000 0.000
4 Al 0.000 0.270 0.000
5 Ca 0.000 0.500 0.500
6 Ca 0.500 0.000 0.500
7 Ca 0.500 0.500 0.000
8 Ir 0.637 0.000 0.000
9 Ir 0.000 0.000 0.637
10 Ir 0.363 0.363 0.363
11 Ir 0.000 0.637 0.000